Cs3Ce2HoTe6, optimized geometry, DFT PBE; size of the total moment = 0.167 μB per atom; uncorrected energy = -54.03 eV for the cell shown
1.0
4.035 -6.989 0.000
4.035 6.989 0.000
-2.691 0.000 8.922
Cs Ce Ho Te
3 2 1 6
Direct
0.000 0.000 0.000
0.331 0.669 0.000
0.669 0.331 0.000
0.166 0.834 0.500
0.834 0.166 0.500
0.500 0.500 0.500
0.112 0.436 0.308
0.240 0.240 0.693
0.436 0.112 0.308
0.564 0.888 0.692
0.760 0.760 0.307
0.888 0.564 0.692